DFT (PBE-GGA) results for crystalline Y2AlP at its relaxed geometry.

```
Y2AlP
1.0
3.432 0.000 0.000
0.000 3.432 0.000
0.000 0.000 7.755
Y Al P
2 1 1
Direct
0.000 0.000 0.000 Y
0.500 0.500 0.358 Y
0.000 0.000 0.619 Al
0.500 0.500 0.753 P
```

Output
VASP energy	-23.751	eV/cell
space-group type	No. 99
spin magnetization	0.00	μB per cell